Record 1
DFT (PBE) results for crystalline ReNiSb4 at its relaxed geometry.

Summary:
magnetization	2.6	μB/f.u.
theoretical density	8.1	g cm⁻³
formation energy without anion corrections	1451	meV per atom
Fermi-level density of states	25.6	states/eV per cell

Cell lengths 8.4458, 8.4458, 8.4458 Å; angles 90.00, 90.00, 90.00 degrees
Last column: nearest neighbours and their distance in Å.
Space group F-43m (No. 216)
Asymmetric unit:
Re 0.0000 0.0000 0.0000 (multiplicity 4)  12 Sb 3.50, 4 Ni 3.66
Ni 0.2500 0.2500 0.2500 (multiplicity 4)  12 Sb 3.50, 4 Re 3.66
Sb 0.1247 0.1247 0.6247 (multiplicity 16)  6 Sb 2.98-2.99


Record 2
DFT (PBE) results for crystalline Re2NiSb at its relaxed geometry.

Summary:
magnetization	0.0	μB/f.u.
theoretical density	14.9	g cm⁻³
formation energy without anion corrections	524	meV per atom
Fermi-level density of states	2.6	states/eV per cell

Cell lengths 3.1222, 3.1222, 6.3091 Å; angles 90.00, 90.00, 90.00 degrees
Last column: nearest neighbours and their distance in Å.
Space group P4/mmm (No. 123)
Asymmetric unit:
Re 0.0000 0.0000 0.2135 (multiplicity 2)  4 Ni 2.59, 1 Re 2.69, 4 Sb 2.85
Ni 0.5000 0.5000 0.0000 (multiplicity 1)  8 Re 2.59
Sb 0.5000 0.5000 0.5000 (multiplicity 1)  8 Re 2.85, 4 Sb 3.12, 2 Ni 3.15


Record 3
DFT (PBE) results for crystalline Re2SiNiSb at its relaxed geometry.

Summary:
magnetization	3.1	μB/f.u.
theoretical density	8.8	g cm⁻³
formation energy without anion corrections	2188	meV per atom
Fermi-level density of states	3.4	states/eV per cell

Cell lengths 4.9347, 4.9347, 4.4901 Å; angles 90.00, 90.00, 90.00 degrees
Last column: nearest neighbours and their distance in Å.
Space group P4/mmm (No. 123)
Asymmetric unit:
Re 0.0000 0.5000 0.0000 (multiplicity 2)  2 Sb 2.47
Si 0.0000 0.0000 0.5000 (multiplicity 1)  8 Re 3.34, 4 Ni 3.49
Ni 0.5000 0.5000 0.5000 (multiplicity 1)  2 Sb 2.25
Sb 0.5000 0.5000 0.0000 (multiplicity 1)  2 Ni 2.25, 4 Re 2.47


- Which formula does entry 1 have?
  ReNiSb4


- Which of these has the highest theoretical density?
  Re2NiSb